Record 1
A plane-wave DFT calculation with PBE-GGA was carried out for a relaxed structure of CsZn3Cu.

Its relative energy among the computed polymorphs is 0 meV/atom. The calculation puts the energy of formation from the pure elements at 0.171 eV/atom.

It has space group Pm-3m (No. 221), with a = 4.981 Å, b = 4.981 Å, c = 4.981 Å, α = 90.00°, β = 90.00° and γ = 90.00°. The inequivalent atoms are Cs at (0.000, 0.000, 0.000), Zn at (0.000, 0.500, 0.500) and Cu at (0.500, 0.500, 0.500).

Record 2
A plane-wave DFT calculation with PBE-GGA was carried out for a relaxed structure of CeNdBiO6.

The calculation puts the formation energy (no corrections) at -2.265 eV per atom.

It has space group P312 (No. 149), with a = 5.8014 Å, b = 5.8014 Å, c = 4.8644 Å, α = 90.00°, β = 90.00° and γ = 120.00°. The inequivalent atoms are Ce at (0.0000, 0.0000, 0.0000), Nd at (0.3333, 0.6667, 0.5000), Bi at (0.6667, 0.3333, 0.5000) and O at (0.3445, 0.0282, 0.7417).

Record 3
A plane-wave DFT calculation with PBE-GGA was carried out for a relaxed structure of GaP2BrCl.

The calculation puts the formation energy (no corrections) at 0.921 eV per atom. Its relative energy among the computed polymorphs is 350 meV/atom.

It has space group P4/mmm (No. 123), with a = 4.736 Å, b = 4.736 Å, c = 7.002 Å, α = 90.00°, β = 90.00° and γ = 90.00°. The inequivalent atoms are Ga at (0.000, 0.000, 0.000), P at (0.000, 0.500, 0.500), Br at (0.500, 0.500, 0.500) and Cl at (0.500, 0.500, 0.000).

Copy entry 3 word for word.
A plane-wave DFT calculation with PBE-GGA was carried out for a relaxed structure of GaP2BrCl.

The calculation puts the formation energy (no corrections) at 0.921 eV per atom. Its relative energy among the computed polymorphs is 350 meV/atom.

It has space group P4/mmm (No. 123), with a = 4.736 Å, b = 4.736 Å, c = 7.002 Å, α = 90.00°, β = 90.00° and γ = 90.00°. The inequivalent atoms are Ga at (0.000, 0.000, 0.000), P at (0.000, 0.500, 0.500), Br at (0.500, 0.500, 0.500) and Cl at (0.500, 0.500, 0.000).